Material: BeTl2Cd
Method: DFT, PBE
State: optimized geometry

Output
Formation energy (eV per atom): 0.537

Lattice parameters (Å, degrees): 4.720 4.720 8.492 90.00 90.00 90.00
Space group I4/mmm (No. 139)
Inequivalent atoms, fractional coordinates:
1 Be 0.000 0.000 0.000 (multiplicity 2)
2 Tl 0.000 0.500 0.250 (multiplicity 4)
3 Cd 0.000 0.000 0.500 (multiplicity 2)